[1]
A plane-wave DFT calculation with GGA-PBEsol was carried out for a geometry-optimized HfOs2RhW structure.

Structure (extended XYZ):
```
5
Lattice="4.578 0.000 0.000 0.000 4.609 0.000 0.000 0.000 4.609" Properties=species:S:1:pos:R:3 pbc="T T T"
Hf 2.289 2.304 2.304
Rh 0.000 0.000 0.000
W 2.289 0.000 0.000
Os 0.000 0.000 2.304
Os 0.000 2.304 0.000
```

Computed properties:
Mass density (g cm⁻³): 14.441
Formation energy (meV per atom): 1845
Space-group type: No. 123

=====

[2]
A plane-wave DFT calculation with GGA-PBEsol was carried out for a geometry-optimized Hf2OsRu structure.

Structure (extended XYZ):
```
4
Lattice="-4.524 -0.349 -0.079 -1.957 -4.089 -0.221 -2.211 -1.655 3.601" Properties=species:S:1:pos:R:3 pbc="T T T"
Os -4.346 -3.047 1.651
Hf -6.519 -4.570 2.476
Hf -2.173 -1.523 0.825
Ru 0.000 0.000 0.000
```

Computed properties:
Mass density (g cm⁻³): 16.289
Formation energy (meV per atom): -751
Space-group type: No. 225

=====

[3]
A plane-wave DFT calculation with GGA-PBEsol was carried out for a geometry-optimized Hf2TiOsRu structure.

Structure (extended XYZ):
```
5
Lattice="-3.541 0.554 2.501 -0.680 -4.784 0.097 2.750 -0.311 3.962" Properties=species:S:1:pos:R:3 pbc="T T T"
Os -0.736 -2.270 3.280
Hf -0.340 -2.392 0.048
Ti -1.770 0.277 1.250
Hf 1.375 -0.155 1.981
Ru 0.000 0.000 0.000
```

Computed properties:
Mass density (g cm⁻³): 11.326
Formation energy (meV per atom): 811
Space-group type: No. 123

=====

[4]
A plane-wave DFT calculation with GGA-PBEsol was carried out for a geometry-optimized HfOs3S structure.

Structure (extended XYZ):
```
5
Lattice="4.771 0.000 0.000 0.000 4.771 0.000 0.000 0.000 4.771" Properties=species:S:1:pos:R:3 pbc="T T T"
S 2.386 2.386 2.386
Os 2.386 0.000 0.000
Os 0.000 0.000 2.386
Os 0.000 2.386 0.000
Hf 0.000 0.000 0.000
```

Computed properties:
Mass density (g cm⁻³): 11.944
Uncorrected formation energy (eV per atom): 2.90
Space-group type: No. 221

=====

[5]
A plane-wave DFT calculation with GGA-PBEsol was carried out for a geometry-optimized HfSb2Os structure.

Structure (extended XYZ):
```
4
Lattice="4.759 0.000 0.000 2.379 4.121 0.000 2.379 1.374 3.885" Properties=species:S:1:pos:R:3 pbc="T T T"
Sb 2.379 1.374 0.971
Os 4.759 2.747 1.943
Hf 0.000 0.000 0.000
Sb 7.138 4.121 2.914
```

Computed properties:
Mass density (g cm⁻³): 13.342
Uncorrected formation energy (eV per atom): 0.18
Space-group type: No. 225

=====

[6]
A plane-wave DFT calculation with GGA-PBEsol was carried out for a geometry-optimized HfSc2SnOs structure.

Structure (extended XYZ):
```
5
Lattice="5.003 0.000 0.000 0.000 5.003 0.000 0.000 0.000 5.145" Properties=species:S:1:pos:R:3 pbc="T T T"
Sc 2.502 0.000 0.000
Sc 0.000 2.502 0.000
Hf 0.000 0.000 2.572
Os 2.502 2.502 2.572
Sn 0.000 0.000 0.000
```

Computed properties:
Mass density (g cm⁻³): 7.444
Formation energy (meV per atom): 1385
Space-group type: No. 123

=====

[7]
A plane-wave DFT calculation with GGA-PBEsol was carried out for a geometry-optimized HfOs3Se structure.

Structure (extended XYZ):
```
5
Lattice="4.747 0.000 0.000 0.000 4.747 0.000 0.000 0.000 4.747" Properties=species:S:1:pos:R:3 pbc="T T T"
Os 0.000 0.000 2.373
Hf 0.000 0.000 0.000
Se 2.373 2.373 2.373
Os 0.000 2.373 0.000
Os 2.373 0.000 0.000
```

Computed properties:
Mass density (g cm⁻³): 12.859
Uncorrected formation energy (eV per atom): 2.66
Space-group type: No. 221

=====

[8]
A plane-wave DFT calculation with GGA-PBEsol was carried out for a geometry-optimized HfSiOs3 structure.

Structure (extended XYZ):
```
5
Lattice="4.729 0.000 0.000 0.000 4.729 0.000 0.000 0.000 4.729" Properties=species:S:1:pos:R:3 pbc="T T T"
Os 0.000 2.364 0.000
Os 0.000 0.000 2.364
Si 2.364 2.364 2.364
Hf 0.000 0.000 0.000
Os 2.364 0.000 0.000
```

Computed properties:
Mass density (g cm⁻³): 12.205
Uncorrected formation energy (eV per atom): 2.66
Space-group type: No. 221